DFT (PBE with a Hubbard U) results for a relaxed NaMn6P7O24 crystal.

Computed properties:
magnetization: 0.7895 μB per atom
total DFT energy (no corrections): -7.4976 eV per atom
DOS(E_F): 0.00 states/eV per atom
mass density: 3.39 Mg/m³

Geometry as CIF:
```
data_NaMn6P7O24
_chemical_formula_sum 'Na2 Mn12 P14 O48'
_symmetry_space_group_name_H-M 'P 1 21/m 1'
_symmetry_Int_Tables_number 11
_symmetry_space_group_name_Hall '-P 2yb'
_cell_length_a 5.431
_cell_length_b 27.060
_cell_length_c 6.654
_cell_angle_alpha 90.00
_cell_angle_beta 107.39
_cell_angle_gamma 90.00
loop_
_atom_site_label
_atom_site_type_symbol
_atom_site_fract_x
_atom_site_fract_y
_atom_site_fract_z
_atom_site_occupancy
Na1 Na 0.223 0.250 0.430 1
Mn1 Mn 0.124 0.683 0.279 1
Mn2 Mn 0.184 0.544 0.686 1
Mn3 Mn 0.210 0.098 0.087 1
P1 P 0.247 0.668 0.807 1
P2 P 0.291 0.524 0.205 1
P3 P 0.317 0.110 0.616 1
P4 P 0.461 0.250 0.913 1
O1 O 0.067 0.665 0.946 1
O2 O 0.121 0.694 0.599 1
O3 O 0.129 0.548 0.998 1
O4 O 0.142 0.522 0.368 1
O5 O 0.143 0.095 0.396 1
O6 O 0.156 0.122 0.766 1
O7 O 0.175 0.250 0.789 1
O8 O 0.356 0.750 0.222 1
O9 O 0.388 0.620 0.792 1
O10 O 0.412 0.025 0.176 1
O11 O 0.457 0.058 0.708 1
O12 O 0.489 0.649 0.388 1
O13 O 0.493 0.704 0.935 1
```